(1)
{"formula": "La2TcIr", "functional": "PBE-GGA", "state": "optimized geometry", "lattice_angstrom": [[7.451, -0.074, -0.045], [6.240, 4.073, -0.045], [6.240, 1.822, 3.643]], "species": ["La", "La", "Ir", "Tc"], "frac_coords": [[0.033, 0.033, 0.033], [0.218, 0.218, 0.218], [0.800, 0.800, 0.800], [0.450, 0.450, 0.450]], "polymorph_energy_ev_per_fu": 0.15, "formation_energy_ev_per_atom": -0.195, "spacegroup": "R3m", "mass_density_g_cm3": 8.31}

---

(2)
{"formula": "La2TcIr", "functional": "PBE-GGA", "state": "optimized geometry", "lattice_angstrom": [[3.528, 0.000, 0.000], [0.000, 3.731, 0.053], [0.000, 3.647, 7.029]], "species": ["Tc", "La", "La", "Ir"], "frac_coords": [[0.500, 0.250, 0.250], [0.000, 0.002, 0.997], [0.000, 0.498, 0.503], [0.500, 0.750, 0.750]], "polymorph_energy_ev_per_fu": 0.76, "formation_energy_ev_per_atom": -0.041, "spacegroup": "P2/m", "mass_density_g_cm3": 10.27}

---

(3)
{"formula": "LaTcIr2", "functional": "PBE-GGA", "state": "optimized geometry", "lattice_angstrom": [[-3.418, 1.013, 0.653], [-0.783, -0.971, -2.590], [-2.145, -7.383, 0.229]], "species": ["Tc", "Ir", "Ir", "La"], "frac_coords": [[0.500, 0.750, 0.750], [0.000, 0.059, 0.940], [0.000, 0.441, 0.560], [0.500, 0.250, 0.250]], "polymorph_energy_ev_per_fu": 0.09, "formation_energy_ev_per_atom": -0.074, "spacegroup": "Pmmm", "mass_density_g_cm3": 13.88}

---

(4)
{"formula": "LaTc2Ir", "functional": "PBE-GGA", "state": "optimized geometry", "lattice_angstrom": [[3.067, 0.000, 0.000], [0.000, 4.798, 0.000], [0.000, 0.000, 4.930]], "species": ["Tc", "Tc", "Ir", "La"], "frac_coords": [[0.500, 0.500, 0.000], [0.000, 0.000, 0.000], [0.500, 0.000, 0.500], [0.000, 0.500, 0.500]], "polymorph_energy_ev_per_fu": 1.36, "formation_energy_ev_per_atom": 0.415, "spacegroup": "Pmmm", "mass_density_g_cm3": 12.06}

---

(5)
{"formula": "LaTcIr", "functional": "PBE-GGA", "state": "optimized geometry", "lattice_angstrom": [[2.911, 0.000, 0.000], [-1.456, 2.521, 0.000], [0.000, 0.000, 7.685]], "species": ["Ir", "Tc", "La"], "frac_coords": [[0.000, 0.000, 0.966], [0.333, 0.667, 0.703], [0.667, 0.333, 0.331]], "polymorph_energy_ev_per_fu": 1.89, "formation_energy_ev_per_atom": 0.458, "spacegroup": "P3m1", "mass_density_g_cm3": 12.63}

---

(6)
{"formula": "La2TcIr", "functional": "PBE-GGA", "state": "optimized geometry", "lattice_angstrom": [[6.612, -0.013, 0.000], [4.067, 5.213, 0.000], [-5.003, -3.290, 2.804]], "species": ["La", "La", "Tc", "Ir"], "frac_coords": [[0.733, 0.233, 0.500], [0.014, 0.014, 0.000], [0.455, 0.455, 0.000], [0.298, 0.798, 0.500]], "polymorph_energy_ev_per_fu": 0.65, "formation_energy_ev_per_atom": -0.068, "spacegroup": "Imm2", "mass_density_g_cm3": 9.75}

---

(7)
{"formula": "LaTc2Ir", "functional": "PBE-GGA", "state": "optimized geometry", "lattice_angstrom": [[3.076, 0.000, 0.000], [0.000, 3.076, 0.000], [0.000, 0.000, 7.750]], "species": ["La", "Tc", "Tc", "Ir"], "frac_coords": [[0.500, 0.500, 0.750], [0.000, 0.000, 0.059], [0.500, 0.500, 0.237], [0.000, 0.000, 0.454]], "polymorph_energy_ev_per_fu": 0.08, "formation_energy_ev_per_atom": 0.094, "spacegroup": "P4mm", "mass_density_g_cm3": 11.94}

---

(8)
{"formula": "LaTc2Ir", "functional": "PBE-GGA", "state": "optimized geometry", "lattice_angstrom": [[-0.929, 4.637, -0.480], [-3.849, -1.039, -2.589], [-1.731, -0.077, 2.604]], "species": ["Tc", "Tc", "La", "Ir"], "frac_coords": [[0.500, 0.500, 0.000], [0.000, 0.000, 0.000], [0.000, 0.500, 0.500], [0.500, 0.000, 0.500]], "polymorph_energy_ev_per_fu": 1.73, "formation_energy_ev_per_atom": 0.506, "spacegroup": "P4/mmm", "mass_density_g_cm3": 12.38}